# SrCu2NiF8 GGA+U relaxed
data_SrCu2NiF8
_space_group_name_H-M_alt 'P 1'
_space_group_IT_number 1
_cell_length_a 5.424
_cell_length_b 5.424
_cell_length_c 6.572
_cell_angle_alpha 114.37
_cell_angle_beta 114.37
_cell_angle_gamma 90.00
loop_
_space_group_symop_operation_xyz
'x,y,z'
loop_
_atom_site_label
_atom_site_type_symbol
_atom_site_fract_x
_atom_site_fract_y
_atom_site_fract_z
F1 F 0.742 0.265 0.905
F2 F 0.735 0.837 0.095
Cu1 Cu 0.250 0.750 0.500
F3 F 0.008 0.939 0.622
F4 F 0.360 0.258 0.095
Cu2 Cu 0.500 0.500 0.000
F5 F 0.061 0.386 0.378
F6 F 0.614 0.683 0.622
Sr1 Sr 0.750 0.250 0.500
Ni1 Ni 0.000 0.000 0.000
F7 F 0.163 0.640 0.905
F8 F 0.317 0.992 0.378
# theoretical density = 4.499 Mg/m³
# M_tot = 4.00 Bohr magnetons per cell
# SG = I-4, No. 82
# E = -4.43 eV per atom